Record 1
Computed, not measured: a relaxed Pu2NO crystal at the PBE level of DFT.

Output
* energy above the most stable polymorph in this dataset: 0 meV per atom
* D(E_F): 3.36 states/eV per atom
* calculated volume: 60.73 Å³ per cell
* calculated density: 14.2 g cm⁻³
* crystal system: trigonal

Lattice parameters (Å, degrees): 6.0733 6.0733 6.0733 33.49 33.49 33.49
Closest atoms and distances in Å follow each position.
Element x y z (fractional)
Pu: 0.2483 0.2483 0.2483  3 N 2.46, 3 O 2.49
Pu: 0.7517 0.7517 0.7517  3 N 2.46, 3 O 2.49
N: 0.5000 0.5000 0.5000  6 Pu 2.46
O: 0.0000 0.0000 0.0000  6 Pu 2.49

Record 2
Computed, not measured: a relaxed CsSb2TeSe crystal at the PBE level of DFT.

Output
* energy above the most stable polymorph in this dataset: 1433 meV per atom
* D(E_F): 1.78 states/eV per atom
* calculated volume: 267.00 Å³ per cell
* calculated density: 3.6 g cm⁻³
* crystal system: tetragonal

Lattice parameters (Å, degrees): 6.4220 6.4220 6.4740 90.00 90.00 90.00
Closest atoms and distances in Å follow each position.
Element x y z (fractional)
Cs: 0.0000 0.0000 0.0000  4 Sb 3.21, 2 Te 3.24
Sb: 0.0000 0.5000 0.0000  2 Cs 3.21
Sb: 0.5000 0.0000 0.0000  2 Cs 3.21
Te: 0.0000 0.0000 0.5000  2 Cs 3.24
Se: 0.5000 0.5000 0.5000  4 Te 4.54, 8 Sb 4.56

Record 3
Computed, not measured: a relaxed NaMgF2 crystal at the PBE level of DFT.

Output
* energy above the most stable polymorph in this dataset: 61 meV per atom
* D(E_F): 0.14 states/eV per atom
* calculated volume: 143.40 Å³ per cell
* calculated density: 2.0 g cm⁻³
* crystal system: tetragonal

Lattice parameters (Å, degrees): 6.2340 6.2340 6.2340 128.75 128.75 75.41
Closest atoms and distances in Å follow each position.
Element x y z (fractional)
Na: 0.0000 0.0000 0.0000  4 F 2.66
Na: 0.7500 0.2500 0.5000  4 F 2.66
Mg: 0.2500 0.7500 0.5000  4 F 1.98
Mg: 0.5000 0.5000 0.0000  4 F 1.98
F: 0.2335 0.6250 0.1085  2 Mg 1.98
F: 0.3750 0.4835 0.6085  2 Mg 1.98
F: 0.5165 0.1250 0.8915  2 Mg 1.98
F: 0.8750 0.7665 0.3915  2 Mg 1.98

Record 4
Computed, not measured: a relaxed TbPrNi10 crystal at the PBE level of DFT.

Output
* D(E_F): 1.14 states/eV per atom
* calculated volume: 167.23 Å³ per cell
* calculated density: 8.8 g cm⁻³
* formation enthalpy at 0 K: -292 meV/atom
* crystal system: orthorhombic

Lattice parameters (Å, degrees): 3.9623 4.9388 8.5458 90.00 90.00 90.00
Closest atoms and distances in Å follow each position.
Element x y z (fractional)
Tb: 0.0000 0.0000 0.0000  14 Ni 2.81-3.14
Pr: 0.0000 0.5000 0.5000  18 Ni 2.87-3.19
Ni: 0.0000 0.0000 0.3289  6 Ni 2.43-2.46
Ni: 0.0000 0.0000 0.6711  6 Ni 2.43-2.46
Ni: 0.0000 0.5000 0.1625  6 Ni 2.42-2.45
Ni: 0.0000 0.5000 0.8375  6 Ni 2.42-2.45
Ni: 0.5000 0.0000 0.5000  8 Ni 2.46-2.49
Ni: 0.5000 0.2479 0.2460  8 Ni 2.43-2.49
Ni: 0.5000 0.2479 0.7540  8 Ni 2.43-2.49
Ni: 0.5000 0.5000 0.0000  8 Ni 2.42-2.44
Ni: 0.5000 0.7521 0.2460  8 Ni 2.43-2.49
Ni: 0.5000 0.7521 0.7540  8 Ni 2.43-2.49

Record 5
Computed, not measured: a relaxed CdRu2Br crystal at the PBE level of DFT.

Output
* energy above the most stable polymorph in this dataset: 597 meV per atom
* D(E_F): 1.39 states/eV per atom
* calculated volume: 67.08 Å³ per cell
* calculated density: 9.8 g cm⁻³
* crystal system: orthorhombic

Lattice parameters (Å, degrees): 4.6141 4.6141 3.1506 90.00 90.00 90.06
Closest atoms and distances in Å follow each position.
Element x y z (fractional)
Cd: 0.0000 0.0000 0.0000  8 Ru 2.79
Ru: 0.0000 0.5000 0.5000  4 Br 2.79, 4 Cd 2.79
Ru: 0.5000 0.0000 0.5000  4 Br 2.79, 4 Cd 2.79
Br: 0.5000 0.5000 0.0000  8 Ru 2.79